The following is a GGA-PBE calculation of crystalline LaTb4S5 at its relaxed geometry, from the Alexandria database.

Geometry as CIF:
```
data_LaTb4S5
_space_group_name_H-M_alt 'I m m m'
_space_group_IT_number 71
_space_group_name_Hall '-I 2 2'
_cell_length_a 3.961
_cell_length_b 5.627
_cell_length_c 19.919
_cell_angle_alpha 90.00
_cell_angle_beta 90.00
_cell_angle_gamma 90.00
loop_
_atom_site_label
_atom_site_type_symbol
_atom_site_fract_x
_atom_site_fract_y
_atom_site_fract_z
La1 La 0.000 0.000 0.000
Tb1 Tb 0.000 0.000 0.202
Tb2 Tb 0.000 0.000 0.400
S1 S 0.000 0.500 0.000
S2 S 0.000 0.500 0.199
S3 S 0.000 0.500 0.394
```

Computed properties:
DFT total energy	-128.71	eV per cell
density of states at the Fermi level	0.51	states/eV/atom
theoretical density	6.993	g cm⁻³
raw formation energy	-2.027	eV per atom

***

The following is a GGA-PBE calculation of crystalline LaTb2S4 at its relaxed geometry, from the Alexandria database.

Geometry as CIF:
```
data_LaTb2S4
_space_group_name_H-M_alt 'C m c m'
_space_group_IT_number 63
_space_group_name_Hall '-C 2c 2'
_cell_length_a 3.931
_cell_length_b 13.051
_cell_length_c 13.288
_cell_angle_alpha 90.00
_cell_angle_beta 90.00
_cell_angle_gamma 90.00
loop_
_atom_site_label
_atom_site_type_symbol
_atom_site_fract_x
_atom_site_fract_y
_atom_site_fract_z
La1 La 0.000 0.122 0.250
Tb1 Tb 0.000 0.370 0.067
S1 S 0.000 0.000 0.000
S2 S 0.000 0.272 0.620
S3 S 0.000 0.460 0.250
```

Computed properties:
DFT total energy	-182.39	eV per cell
ΔE to the lowest computed polymorph	0	meV/atom
density of states at the Fermi level	0.27	states/eV/atom
theoretical density	5.701	g cm⁻³
raw formation energy	-2.129	eV per atom

***

The following is a GGA-PBE calculation of crystalline La6TbS8 at its relaxed geometry, from the Alexandria database.

Geometry as CIF:
```
data_La6TbS8
_space_group_name_H-M_alt 'F m -3 m'
_space_group_IT_number 225
_space_group_name_Hall '-F 4 2 3'
_cell_length_a 11.700
_cell_length_b 11.700
_cell_length_c 11.700
_cell_angle_alpha 90.00
_cell_angle_beta 90.00
_cell_angle_gamma 90.00
loop_
_atom_site_label
_atom_site_type_symbol
_atom_site_fract_x
_atom_site_fract_y
_atom_site_fract_z
La1 La 0.000 0.250 0.250
Tb1 Tb 0.000 0.000 0.000
S1 S 0.000 0.000 0.239
S2 S 0.250 0.250 0.250
```

Computed properties:
DFT total energy	-398.36	eV per cell
density of states at the Fermi level	0.54	states/eV/atom
theoretical density	5.179	g cm⁻³
raw formation energy	-2.158	eV per atom

***

The following is a GGA-PBE calculation of crystalline La4TbS7 at its relaxed geometry, from the Alexandria database.

Geometry as CIF:
```
data_La4TbS7
_space_group_name_H-M_alt 'C 1 m 1'
_space_group_IT_number 8
_space_group_name_Hall 'C -2y'
_cell_length_a 13.552
_cell_length_b 4.015
_cell_length_c 11.969
_cell_angle_alpha 90.00
_cell_angle_beta 105.56
_cell_angle_gamma 90.00
loop_
_atom_site_label
_atom_site_type_symbol
_atom_site_fract_x
_atom_site_fract_y
_atom_site_fract_z
La1 La 0.000 0.000 0.000
La2 La 0.087 0.500 0.380
La3 La 0.191 0.000 0.767
La4 La 0.388 0.500 0.571
Tb1 Tb 0.276 0.500 0.151
S1 S 0.048 0.500 0.624
S2 S 0.130 0.500 0.932
S3 S 0.159 0.000 0.221
S4 S 0.228 0.000 0.522
S5 S 0.346 0.500 0.789
S6 S 0.382 0.000 0.077
S7 S 0.429 0.500 0.351
```

Computed properties:
DFT total energy	-158.39	eV per cell
density of states at the Fermi level	0.14	states/eV/atom
theoretical density	4.970	g cm⁻³
raw formation energy	-2.164	eV per atom

***

The following is a GGA-PBE calculation of crystalline La3Tb4S8 at its relaxed geometry, from the Alexandria database.

Geometry as CIF:
```
data_La3Tb4S8
_space_group_name_H-M_alt 'C 1 2/m 1'
_space_group_IT_number 12
_space_group_name_Hall '-C 2y'
_cell_length_a 11.403
_cell_length_b 11.410
_cell_length_c 8.011
_cell_angle_alpha 90.00
_cell_angle_beta 134.56
_cell_angle_gamma 90.00
loop_
_atom_site_label
_atom_site_type_symbol
_atom_site_fract_x
_atom_site_fract_y
_atom_site_fract_z
La1 La 0.000 0.000 0.000
La2 La 0.250 0.250 0.000
Tb1 Tb 0.000 0.500 0.000
Tb2 Tb 0.000 0.500 0.500
Tb3 Tb 0.250 0.250 0.500
S1 S 0.000 0.256 0.000
S2 S 0.000 0.256 0.500
S3 S 0.237 0.500 0.986
S4 S 0.240 0.500 0.489
```

Computed properties:
DFT total energy	-195.29	eV per cell
density of states at the Fermi level	0.51	states/eV/atom
theoretical density	5.854	g cm⁻³
raw formation energy	-2.088	eV per atom

***

The following is a GGA-PBE calculation of crystalline LaTb3S at its relaxed geometry, from the Alexandria database.

Geometry as CIF:
```
data_LaTb3S
_space_group_name_H-M_alt 'P m -3 m'
_space_group_IT_number 221
_space_group_name_Hall '-P 4 2 3'
_cell_length_a 5.375
_cell_length_b 5.375
_cell_length_c 5.375
_cell_angle_alpha 90.00
_cell_angle_beta 90.00
_cell_angle_gamma 90.00
loop_
_atom_site_label
_atom_site_type_symbol
_atom_site_fract_x
_atom_site_fract_y
_atom_site_fract_z
La1 La 0.000 0.000 0.000
Tb1 Tb 0.000 0.500 0.500
S1 S 0.500 0.500 0.500
```

Computed properties:
DFT total energy	-26.28	eV per cell
density of states at the Fermi level	1.70	states/eV/atom
theoretical density	6.928	g cm⁻³
raw formation energy	-0.667	eV per atom